1.
VASP calculation (GGA-PBE) on KTbTeSe after structural relaxation.

Volume in Å³/cell: 131.78
Total DFT energy (no corrections) in eV per atom: -4.66

Unit cell a=8.382 b=8.382 c=8.382 alpha=30.17 beta=30.17 gamma=30.17
Positions (direct):
K1 0.496 0.496 0.496
Se1 0.735 0.735 0.735
Tb1 0.006 0.006 0.006
Te1 0.263 0.263 0.263

2.
VASP calculation (GGA-PBE) on TbTlSe2O8 after structural relaxation.

Volume in Å³/cell: 211.33
Total DFT energy (no corrections) in eV per atom: -5.82

Unit cell a=5.695 b=5.695 c=7.524 alpha=90.00 beta=90.00 gamma=120.00
Positions (direct):
O1 0.352 0.176 0.184
O2 0.824 0.176 0.184
O3 0.824 0.648 0.184
O4 0.667 0.333 0.484
O5 0.333 0.667 0.516
O6 0.176 0.352 0.816
O7 0.176 0.824 0.816
O8 0.648 0.824 0.816
Se1 0.667 0.333 0.267
Se2 0.333 0.667 0.733
Tb1 0.000 0.000 0.000
Tl1 0.000 0.000 0.500

3.
VASP calculation (GGA-PBE) on TaGeAsO after structural relaxation.

Energy relative to the lowest polymorph listed for this composition in meV per atom: 553
Volume in Å³/cell: 151.01

Unit cell a=3.999 b=3.999 c=9.443 alpha=90.00 beta=90.00 gamma=90.00
Positions (direct):
As1 0.000 0.500 0.324
As2 0.500 0.000 0.676
Ge1 0.500 0.000 0.093
Ge2 0.000 0.500 0.907
O1 0.000 0.000 0.000
O2 0.500 0.500 0.000
Ta1 0.000 0.000 0.500
Ta2 0.500 0.500 0.500